1.
A plane-wave DFT calculation with PBE-GGA was carried out for a relaxed TiTlAg2As crystal.

Properties
Final energy ... -3.054 eV/atom

Structure (extended XYZ):
```
5
Lattice="-0.279 -2.141 4.609 -3.678 -3.329 -1.769 3.632 -3.312 -1.319" Properties=species:S:1:pos:R:3 pbc="T T T"
Ti -1.839 -1.664 -0.884
Tl 0.000 0.000 0.000
Ag -0.139 -1.070 2.304
As -0.162 -4.391 0.760
Ag 1.816 -1.656 -0.659
```


2.
A plane-wave DFT calculation with PBE-GGA was carried out for a relaxed TiAgAs2W crystal.

Properties
Final energy ... -5.389 eV/atom

Structure (extended XYZ):
```
5
Lattice="-3.210 0.572 -3.464 3.316 -1.560 -3.331 -1.476 -4.479 0.629" Properties=species:S:1:pos:R:3 pbc="T T T"
Ti 0.000 0.000 0.000
Ag 1.658 -0.780 -1.665
As -1.605 0.286 -1.732
W -0.685 -2.734 -3.083
As -0.738 -2.239 0.314
```


3.
A plane-wave DFT calculation with PBE-GGA was carried out for a relaxed TlAg2As crystal.

Properties
Final energy ... -3.009 eV/atom

Structure (extended XYZ):
```
4
Lattice="-0.273 3.848 -3.007 1.516 1.465 -4.414 -4.798 -1.698 -3.227" Properties=species:S:1:pos:R:3 pbc="T T T"
Ag -2.546 2.764 -7.921
Tl -0.813 0.933 -2.614
As -2.209 1.593 -5.508
Ag -4.564 -1.563 -3.156
```


4.
A plane-wave DFT calculation with PBE-GGA was carried out for a relaxed TlAg2As crystal.

Properties
Final energy ... -3.014 eV/atom

Structure (extended XYZ):
```
4
Lattice="-4.484 0.498 -0.102 -2.353 0.044 3.850 -1.703 5.424 1.541" Properties=species:S:1:pos:R:3 pbc="T T T"
Tl -4.255 3.115 2.652
As -6.283 5.588 4.029
Ag -1.800 4.540 1.492
Ag -2.175 1.130 1.302
```


5.
A plane-wave DFT calculation with PBE-GGA was carried out for a relaxed Tl2AgAs2 crystal.

Properties
ΔE to the lowest computed polymorph ... 0 meV per atom
Final energy ... -3.313 eV/atom

Structure (extended XYZ):
```
10
Lattice="-1.879 -5.459 3.821 6.429 -2.530 -0.452 1.338 2.616 4.395" Properties=species:S:1:pos:R:3 pbc="T T T"
Ag 2.275 -3.994 1.684
Ag 0.000 0.000 0.000
As -0.368 -3.733 2.334
Tl 4.618 -4.494 4.448
As 2.378 -6.356 3.058
Tl 1.161 -3.935 5.168
As 2.171 -1.633 0.311
Tl 4.727 -1.438 2.596
Tl 1.270 -0.879 3.316
As 4.918 -4.256 1.035
```


6.
A plane-wave DFT calculation with PBE-GGA was carried out for a relaxed TlAg2As2 crystal.

Properties
ΔE to the lowest computed polymorph ... 141 meV per atom
Final energy ... -3.287 eV/atom

Structure (extended XYZ):
```
10
Lattice="-4.450 -2.538 -6.743 7.174 -0.829 -4.422 0.235 -2.834 0.912" Properties=species:S:1:pos:R:3 pbc="T T T"
As 0.822 -2.705 -8.617
Ag 3.300 -3.775 -7.690
Tl 1.362 -1.684 -5.582
Ag -1.160 -3.858 -6.801
Ag 4.118 -2.343 -3.452
Tl 0.000 0.000 0.000
As 1.902 -0.662 -2.547
Ag -0.341 -2.426 -2.563
As -1.830 -1.757 -4.989
As 4.554 -1.610 -6.175
```


Number 1: ΔE_f 1.07 eV/atom, DOS(E_F) 5.1 states/eV per cell. Number 2: ΔE_f 1.21 eV/atom, DOS(E_F) 3.5 states/eV per cell. Number 3: ΔE_f 0.17 eV/atom, DOS(E_F) 1.3 states/eV per cell. Number 4: ΔE_f 0.17 eV/atom, DOS(E_F) 2.0 states/eV per cell. Number 5: ΔE_f 0.06 eV/atom, DOS(E_F) 4.8 states/eV per cell. Number 6: ΔE_f 0.19 eV/atom, DOS(E_F) 3.4 states/eV per cell.